(1)
# Li2FeRh (PBE, relaxed)
data_Li2FeRh
_chemical_formula_sum 'Li6 Fe3 Rh3'
_symmetry_space_group_name_H-M 'R 3 m'
_symmetry_Int_Tables_number 160
_symmetry_space_group_name_Hall 'R 3 -2"'
_cell_length_a 2.7003
_cell_length_b 2.7003
_cell_length_c 27.3409
_cell_angle_alpha 90.00
_cell_angle_beta 90.00
_cell_angle_gamma 120.00
loop_
_atom_site_label
_atom_site_type_symbol
_atom_site_fract_x
_atom_site_fract_y
_atom_site_fract_z
_atom_site_occupancy
Li1 Li 0.0000 0.0000 0.0000 1
Li2 Li 0.0000 0.0000 0.2366 1
Fe1 Fe 0.0000 0.0000 0.7485 1
Rh1 Rh 0.0000 0.0000 0.4912 1
# Spin magnetization in μB/f.u.: 3.4
# E_tot in eV/atom: -4.87
# Volume in Å³/cell: 172.6

=====

(2)
# Ca2AgS2Br2 (PBE, relaxed)
data_Ca2AgS2Br2
_chemical_formula_sum 'Ca4 Ag2 S4 Br4'
_symmetry_space_group_name_H-M 'I 4/m m m'
_symmetry_Int_Tables_number 139
_symmetry_space_group_name_Hall '-I 4 2'
_cell_length_a 4.861
_cell_length_b 4.861
_cell_length_c 15.455
_cell_angle_alpha 90.00
_cell_angle_beta 90.00
_cell_angle_gamma 90.00
loop_
_atom_site_label
_atom_site_type_symbol
_atom_site_fract_x
_atom_site_fract_y
_atom_site_fract_z
_atom_site_occupancy
Ca1 Ca 0.000 0.000 0.116 1
Ag1 Ag 0.000 0.000 0.500 1
S1 S 0.000 0.500 0.000 1
Br1 Br 0.000 0.000 0.302 1
# Spin magnetization in μB/f.u.: 0.0
# Energy relative to the elements, uncorrected in kcal/mol of atoms: -29.781
# E_tot in eV/atom: -3.93
# Volume in Å³/cell: 365.2

=====

(3)
# TaSnBiO2 (PBE, relaxed)
data_TaSnBiO2
_chemical_formula_sum 'Ta1 Sn1 Bi1 O2'
_symmetry_space_group_name_H-M 'P 4/m m m'
_symmetry_Int_Tables_number 123
_symmetry_space_group_name_Hall '-P 4 2'
_cell_length_a 4.009
_cell_length_b 4.009
_cell_length_c 6.862
_cell_angle_alpha 90.00
_cell_angle_beta 90.00
_cell_angle_gamma 90.00
loop_
_atom_site_label
_atom_site_type_symbol
_atom_site_fract_x
_atom_site_fract_y
_atom_site_fract_z
_atom_site_occupancy
Ta1 Ta 0.000 0.000 0.000 1
Sn1 Sn 0.500 0.500 0.500 1
Bi1 Bi 0.500 0.500 0.000 1
O1 O 0.000 0.500 0.500 1
# Spin magnetization in μB/f.u.: 1.9
# Energy relative to the elements, uncorrected in kcal/mol of atoms: 5.540
# E_tot in eV/atom: -5.69
# Volume in Å³/cell: 110.3

=====

no.,DOS(E_F) (states/eV/f.u.)
1,2.38
2,1.53
3,5.49